No. 1
## TbSm2Ga2 (PBE)

Data for a relaxed TbSm2Ga2 crystal.

N(E_F) = 13.0 states/eV/cell
ΔE to the lowest computed polymorph = 0.240 eV/atom
Symmetry = Ibam, No. 72
Formation enthalpy at 0 K = -0.27 eV per atom

Cell: 7.633 7.633 7.633 Å, 114.73 85.37 131.48°
Fractional coordinates of all 10 atoms:
Tb 0.250 0.250 0.000
Tb 0.750 0.750 0.000
Sm 0.148 0.630 0.779
Sm 0.352 0.130 0.482
Sm 0.648 0.870 0.518
Sm 0.852 0.370 0.221
Ga 0.113 0.269 0.382
Ga 0.387 0.769 0.156
Ga 0.613 0.231 0.844
Ga 0.887 0.731 0.618


No. 2
## NiBBr3 (PBE)

Data for a relaxed NiBBr3 crystal.

N(E_F) = 9.9 states/eV/cell
ΔE to the lowest computed polymorph = 0.101 eV/atom
Symmetry = Pm-3m, No. 221
Formation energy from raw total energies = 0.884 eV per atom

Cell: 4.707 4.707 4.707 Å, 90.00 90.00 90.00°
Fractional coordinates of all 5 atoms:
Ni 0.000 0.000 0.000
B 0.500 0.500 0.500
Br 0.000 0.500 0.500
Br 0.500 0.000 0.500
Br 0.500 0.500 0.000


No. 3
## Sr2CuSe (PBE)

Data for a relaxed Sr2CuSe crystal.

N(E_F) = 2.1 states/eV/cell
Symmetry = P4/mmm, No. 123
Formation energy from raw total energies = -0.874 eV per atom

Cell: 4.482 4.482 6.297 Å, 90.00 90.00 90.00°
Fractional coordinates of all 4 atoms:
Sr 0.000 0.000 0.000
Sr 0.500 0.500 0.500
Cu 0.000 0.000 0.500
Se 0.500 0.500 0.000


No. 4
## VB3Se (PBE)

Data for a relaxed VB3Se crystal.

N(E_F) = 5.9 states/eV/cell
ΔE to the lowest computed polymorph = 0.431 eV/atom
Symmetry = Pm-3m, No. 221
Formation energy from raw total energies = 2.088 eV per atom

Cell: 4.041 4.041 4.041 Å, 90.00 90.00 90.00°
Fractional coordinates of all 5 atoms:
V 0.000 0.000 0.000
B 0.000 0.500 0.500
B 0.500 0.000 0.500
B 0.500 0.500 0.000
Se 0.500 0.500 0.500